1.
Compound: Sc3CdO
Source: the Alexandria database
Functional: PBE
Structure: optimized geometry

Output
SG	R3m, No. 160

Cell lengths 5.3074, 5.3074, 5.3074 Å; angles 108.68, 108.68, 108.68 degrees
With the nearest neighbours (Å) after each atom.
Positions (direct):
Sc 0.2084 0.2084 0.5832  1 O 2.00
Sc 0.2084 0.5832 0.2084  1 O 2.00
Sc 0.5832 0.2084 0.2084  1 O 2.00
Cd 0.8839 0.8839 0.8839  1 O 2.33
O 0.4617 0.4617 0.4617  3 Sc 2.00

2.
Compound: Sc3CdO
Source: the Alexandria database
Functional: PBE
Structure: optimized geometry

Output
SG	Amm2, No. 38

Cell lengths 3.3243, 5.7607, 5.7607 Å; angles 69.30, 90.00, 90.00 degrees
With the nearest neighbours (Å) after each atom.
Positions (direct):
Sc 0.0000 0.0000 0.0000  2 O 2.09
Sc 0.5000 0.0049 0.4893  1 O 2.03
Sc 0.5000 0.4893 0.0049  1 O 2.03
Cd 0.0000 0.4990 0.4990  10 Sc 3.28-3.34, 2 Cd 3.32
O 0.5000 0.8656 0.8656  4 Sc 2.03-2.09

3.
Compound: Sc3CdO
Source: the Alexandria database
Functional: PBE
Structure: optimized geometry

Output
SG	Pm-3m, No. 221

Cell lengths 5.2343, 5.2343, 5.2343 Å; angles 90.00, 90.00, 90.00 degrees
With the nearest neighbours (Å) after each atom.
Positions (direct):
Sc 0.0000 0.0000 0.5000  2 Cd 2.62
Sc 0.0000 0.5000 0.0000  2 Cd 2.62
Sc 0.5000 0.0000 0.0000  2 Cd 2.62
Cd 0.0000 0.0000 0.0000  6 Sc 2.62
O 0.5000 0.5000 0.5000  12 Sc 3.70

The following raw total energy values (in eV per atom) correspond, in order, to the records above: -5.789, -6.179, -4.226.
The following total magnetic moment values (in μB per atom) correspond, in order, to the records above: 0.22, 0.00, 0.00.